Dy4PuPb5 (GGA-PBE, optimized geometry); energy of formation from the pure elements = -0.38 eV per atom; symmetry = No. 123
1.0
-0.310 2.309 2.633
-0.098 -2.648 2.310
22.571 0.837 1.922
Dy Pu Pb
4 1 5
Direct
0.000 0.000 0.201
0.000 0.000 0.400
0.000 0.000 0.600
0.000 0.000 0.799
0.000 0.000 0.000
0.500 0.500 0.102
0.500 0.500 0.301
0.500 0.500 0.500
0.500 0.500 0.699
0.500 0.500 0.898